(1)
Computed, not measured: DyYTlSn after structural relaxation at the PBE-GGA level of DFT.

Cell and atoms, written as CIF:
```
data_DyYTlSn
_chemical_formula_sum 'Dy4 Y4 Tl4 Sn4'
_symmetry_space_group_name_H-M 'F -4 3 m'
_symmetry_Int_Tables_number 216
_symmetry_space_group_name_Hall 'F -4 2 3'
_cell_length_a 7.5801
_cell_length_b 7.5801
_cell_length_c 7.5801
_cell_angle_alpha 90.00
_cell_angle_beta 90.00
_cell_angle_gamma 90.00
loop_
_atom_site_label
_atom_site_fract_x
_atom_site_fract_y
_atom_site_fract_z
_atom_site_occupancy
Dy1 0.0000 0.0000 0.0000 1
Y1 0.0000 0.0000 0.5000 1
Tl1 0.2500 0.2500 0.7500 1
Sn1 0.2500 0.2500 0.2500 1
```

Summary:
Crystal system ... cubic
Density of states at the Fermi level ... 3.33 states/eV/f.u.
Total magnetic moment ... 0.0 μB/cell
Calculated density ... 8.76 g cm⁻³
Total energy ... -4.824 eV/atom



(2)
Computed, not measured: Dy2TmSn after structural relaxation at the PBE-GGA level of DFT.

Cell and atoms, written as CIF:
```
data_Dy2TmSn
_chemical_formula_sum 'Dy8 Tm4 Sn4'
_symmetry_space_group_name_H-M 'C m c m'
_symmetry_Int_Tables_number 63
_symmetry_space_group_name_Hall '-C 2c 2'
_cell_length_a 3.3942
_cell_length_b 26.5399
_cell_length_c 5.4986
_cell_angle_alpha 90.00
_cell_angle_beta 90.00
_cell_angle_gamma 90.00
loop_
_atom_site_label
_atom_site_fract_x
_atom_site_fract_y
_atom_site_fract_z
_atom_site_occupancy
Dy1 0.0000 0.0952 0.2500 1
Dy2 0.0000 0.1873 0.7500 1
Tm1 0.0000 0.0293 0.7500 1
Sn1 0.0000 0.3036 0.7500 1
```

Summary:
Crystal system ... orthorhombic
Density of states at the Fermi level ... 4.68 states/eV/f.u.
Total magnetic moment ... 0.0 μB/cell
Calculated density ... 8.22 g cm⁻³
E above lowest polymorph ... 396 meV/atom



(3)
Computed, not measured: DyTm2Sn after structural relaxation at the PBE-GGA level of DFT.

Cell and atoms, written as CIF:
```
data_DyTm2Sn
_chemical_formula_sum 'Dy1 Tm2 Sn1'
_symmetry_space_group_name_H-M 'P 4/m m m'
_symmetry_Int_Tables_number 123
_symmetry_space_group_name_Hall '-P 4 2'
_cell_length_a 4.7691
_cell_length_b 4.7691
_cell_length_c 4.7587
_cell_angle_alpha 90.00
_cell_angle_beta 90.00
_cell_angle_gamma 90.00
loop_
_atom_site_label
_atom_site_fract_x
_atom_site_fract_y
_atom_site_fract_z
_atom_site_occupancy
Dy1 0.0000 0.0000 0.0000 1
Tm1 0.0000 0.5000 0.5000 1
Sn1 0.5000 0.5000 0.0000 1
```

Summary:
Crystal system ... tetragonal
Density of states at the Fermi level ... 4.80 states/eV/f.u.
Total magnetic moment ... 0.0 μB/cell
Calculated density ... 9.50 g cm⁻³
E above lowest polymorph ... 6 meV/atom



(4)
Computed, not measured: DyTm5Sn4 after structural relaxation at the PBE-GGA level of DFT.

Cell and atoms, written as CIF:
```
data_DyTm5Sn4
_chemical_formula_sum 'Dy2 Tm10 Sn8'
_symmetry_space_group_name_H-M 'C 1 2/m 1'
_symmetry_Int_Tables_number 12
_symmetry_space_group_name_Hall '-C 2y'
_cell_length_a 17.4758
_cell_length_b 4.4955
_cell_length_c 7.6928
_cell_angle_alpha 90.00
_cell_angle_beta 100.77
_cell_angle_gamma 90.00
loop_
_atom_site_label
_atom_site_fract_x
_atom_site_fract_y
_atom_site_fract_z
_atom_site_occupancy
Dy1 0.0000 0.0000 0.0000 1
Tm1 0.0000 0.0000 0.5000 1
Tm2 0.1385 0.5000 0.7293 1
Tm3 0.2106 0.5000 0.3174 1
Sn1 0.0388 0.5000 0.2777 1
Sn2 0.1884 0.0000 0.0200 1
```

Summary:
Crystal system ... monoclinic
Density of states at the Fermi level ... 10.13 states/eV/f.u.
Total magnetic moment ... 0.0 μB/cell
Calculated density ... 8.29 g cm⁻³
Total energy ... -4.669 eV/atom



(5)
Computed, not measured: DyTmSn after structural relaxation at the PBE-GGA level of DFT.

Cell and atoms, written as CIF:
```
data_DyTmSn
_chemical_formula_sum 'Dy4 Tm4 Sn4'
_symmetry_space_group_name_H-M 'I 4/m m m'
_symmetry_Int_Tables_number 139
_symmetry_space_group_name_Hall '-I 4 2'
_cell_length_a 4.5475
_cell_length_b 4.5475
_cell_length_c 16.5282
_cell_angle_alpha 90.00
_cell_angle_beta 90.00
_cell_angle_gamma 90.00
loop_
_atom_site_label
_atom_site_fract_x
_atom_site_fract_y
_atom_site_fract_z
_atom_site_occupancy
Dy1 0.0000 0.0000 0.1749 1
Tm1 0.0000 0.5000 0.0000 1
Sn1 0.0000 0.0000 0.3640 1
```

Summary:
Crystal system ... tetragonal
Density of states at the Fermi level ... 3.81 states/eV/f.u.
Total magnetic moment ... 0.0 μB/cell
Calculated density ... 8.75 g cm⁻³
E above lowest polymorph ... 0 meV/atom



(6)
Computed, not measured: DyTm2Sn after structural relaxation at the PBE-GGA level of DFT.

Cell and atoms, written as CIF:
```
data_DyTm2Sn
_chemical_formula_sum 'Dy4 Tm8 Sn4'
_symmetry_space_group_name_H-M 'C m c m'
_symmetry_Int_Tables_number 63
_symmetry_space_group_name_Hall '-C 2c 2'
_cell_length_a 4.5583
_cell_length_b 22.0951
_cell_length_c 4.6258
_cell_angle_alpha 90.00
_cell_angle_beta 90.00
_cell_angle_gamma 90.00
loop_
_atom_site_label
_atom_site_fract_x
_atom_site_fract_y
_atom_site_fract_z
_atom_site_occupancy
Dy1 0.0000 0.1922 0.2500 1
Tm1 0.0000 0.0589 0.7500 1
Tm2 0.0000 0.4366 0.7500 1
Sn1 0.0000 0.3344 0.2500 1
```

Summary:
Crystal system ... orthorhombic
Density of states at the Fermi level ... 4.00 states/eV/f.u.
Total magnetic moment ... 0.0 μB/cell
Calculated density ... 8.83 g cm⁻³
E above lowest polymorph ... 0 meV/atom



(7)
Computed, not measured: DyTm2Sn after structural relaxation at the PBE-GGA level of DFT.

Cell and atoms, written as CIF:
```
data_DyTm2Sn
_chemical_formula_sum 'Dy1 Tm2 Sn1'
_symmetry_space_group_name_H-M 'P 4/m m m'
_symmetry_Int_Tables_number 123
_symmetry_space_group_name_Hall '-P 4 2'
_cell_length_a 3.5482
_cell_length_b 3.5482
_cell_length_c 9.1057
_cell_angle_alpha 90.00
_cell_angle_beta 90.00
_cell_angle_gamma 90.00
loop_
_atom_site_label
_atom_site_fract_x
_atom_site_fract_y
_atom_site_fract_z
_atom_site_occupancy
Dy1 0.0000 0.0000 0.0000 1
Tm1 0.5000 0.5000 0.2706 1
Sn1 0.0000 0.0000 0.5000 1
```

Summary:
Crystal system ... tetragonal
Density of states at the Fermi level ... 4.25 states/eV/f.u.
Total magnetic moment ... 0.0 μB/cell
Calculated density ... 8.97 g cm⁻³
E above lowest polymorph ... 106 meV/atom



(8)
Computed, not measured: DyTmSn after structural relaxation at the PBE-GGA level of DFT.

Cell and atoms, written as CIF:
```
data_DyTmSn
_chemical_formula_sum 'Dy4 Tm4 Sn4'
_symmetry_space_group_name_H-M 'C 1 2/m 1'
_symmetry_Int_Tables_number 12
_symmetry_space_group_name_Hall '-C 2y'
_cell_length_a 6.3710
_cell_length_b 6.3710
_cell_length_c 8.4017
_cell_angle_alpha 90.00
_cell_angle_beta 90.03
_cell_angle_gamma 90.00
loop_
_atom_site_label
_atom_site_fract_x
_atom_site_fract_y
_atom_site_fract_z
_atom_site_occupancy
Dy1 0.2494 0.0000 0.1549 1
Tm1 0.0000 0.2501 0.5000 1
Sn1 0.2495 0.5000 0.2224 1
```

Summary:
Crystal system ... monoclinic
Density of states at the Fermi level ... 2.33 states/eV/f.u.
Total magnetic moment ... 0.0 μB/cell
Calculated density ... 8.77 g cm⁻³
E above lowest polymorph ... 6 meV/atom